# AlAg2Ir | Alexandria via LeMat-Bulk | GGA-PBE | optimized geometry
# **Density of states at the Fermi level**: 6.40 states/eV/cell
# **Raw total energy**: -35.683 eV/cell
# **Energy of formation**: 0.12 eV/atom
# **Total magnetic moment**: 0.00 μB/cell
data_AlAg2Ir
_cell_length_a 5.354
_cell_length_b 8.322
_cell_length_c 2.916
_cell_angle_alpha 90.00
_cell_angle_beta 90.00
_cell_angle_gamma 90.00
_symmetry_space_group_name_H-M 'C m m m'
_symmetry_Int_Tables_number 65
_symmetry_space_group_name_Hall '-C 2 2'
loop_
_atom_site_label
_atom_site_type_symbol
_atom_site_fract_x
_atom_site_fract_y
_atom_site_fract_z
Al1 Al 0.000 0.000 0.000
Ag1 Ag 0.250 0.250 0.500
Ir1 Ir 0.000 0.500 0.000